(1)
Here is an optimized crystal structure of LiDyErMn from Alexandria via LeMat-Bulk. Energies are from PBE.

Cell lengths 4.9935, 4.9935, 4.9935 Å; angles 60.00, 60.00, 60.00 degrees
Last column: nearest neighbours and their distance in Å.
Sites, in units of the cell vectors:
Dy: 0.5000 0.5000 0.5000  4 Mn 3.06, 4 Li 3.06
Er: 0.0000 0.0000 0.0000  4 Li 3.06, 4 Mn 3.06
Mn: 0.2500 0.2500 0.2500  4 Dy 3.06, 4 Er 3.06
Li: 0.7500 0.7500 0.7500  4 Dy 3.06, 4 Er 3.06

Calculated values
- ΔE_f (eV/atom) = 0.113
- energy (eV per atom) = -4.949
- magnetic moment (μB per formula unit) = 2.48
- SG = F-43m, No. 216

***

(2)
Here is an optimized crystal structure of Ce2AlCo4P3 from Alexandria via LeMat-Bulk. Energies are from PBE.

Cell lengths 3.9099, 3.9099, 9.5490 Å; angles 90.00, 90.00, 90.00 degrees
Last column: nearest neighbours and their distance in Å.
Sites, in units of the cell vectors:
Co: 0.5000 0.5000 0.0000  4 P 2.30
Ce: 0.0000 0.5000 0.7553  6 P 2.98-3.13, 8 Co 2.99-3.05, 2 Al 3.13
Ce: 0.5000 0.0000 0.2447  6 P 2.98-3.13, 8 Co 2.99-3.05, 2 Al 3.13
Co: 0.0000 0.0000 0.0000  4 P 2.30
Co: 0.5000 0.0000 0.6356  3 P 2.27-2.34, 2 Al 2.34
P: 0.0000 0.0000 0.5000  4 Co 2.34
Al: 0.5000 0.5000 0.5000  4 Co 2.34
P: 0.5000 0.0000 0.8729  5 Co 2.27-2.30
P: 0.0000 0.5000 0.1271  5 Co 2.27-2.30
Co: 0.0000 0.5000 0.3644  3 P 2.27-2.34, 2 Al 2.34

Calculated values
- ΔE_f (eV/atom) = -0.921
- energy (eV per atom) = -6.947
- magnetic moment (μB per formula unit) = 1.12
- SG = P-4m2, No. 115

***

Q: What is the ΔE_f in the second record?
A: -0.921 eV/atom

***

What did the first record say?
Here is an optimized crystal structure of LiDyErMn from Alexandria via LeMat-Bulk. Energies are from PBE.

Cell lengths 4.9935, 4.9935, 4.9935 Å; angles 60.00, 60.00, 60.00 degrees
Last column: nearest neighbours and their distance in Å.
Sites, in units of the cell vectors:
Dy: 0.5000 0.5000 0.5000  4 Mn 3.06, 4 Li 3.06
Er: 0.0000 0.0000 0.0000  4 Li 3.06, 4 Mn 3.06
Mn: 0.2500 0.2500 0.2500  4 Dy 3.06, 4 Er 3.06
Li: 0.7500 0.7500 0.7500  4 Dy 3.06, 4 Er 3.06

Calculated values
- ΔE_f (eV/atom) = 0.113
- energy (eV per atom) = -4.949
- magnetic moment (μB per formula unit) = 2.48
- SG = F-43m, No. 216